Density functional theory data (PBE+U) for ScTl2VO6 after structural relaxation.

Calculated values
**ρ**: 5.31 g cm⁻³
**Final energy**: -63.5 eV per cell
**M_tot**: 0.000 μB per atom
**DOS(E_F)**: 4.24 states/eV/f.u.

Unit cell a=5.4854 b=6.2884 c=6.2884 alpha=120.00 beta=90.00 gamma=90.00
With the nearest neighbours (Å) after each atom.
Atoms (fractional coordinates):
Tl: 0.9026 0.3333 0.6667  3 O 2.26
Tl: 0.0974 0.6667 0.3333  3 O 2.26
O: 0.2208 0.8643 0.7285  1 V 1.91, 1 Sc 2.13
O: 0.7792 0.7285 0.8643  1 V 1.91, 1 Sc 2.13
O: 0.2208 0.2715 0.1357  1 V 1.91, 1 Sc 2.13
O: 0.2208 0.8643 0.1357  1 V 1.91, 1 Sc 2.13
O: 0.7792 0.1357 0.2715  1 V 1.91, 1 Sc 2.13
O: 0.7792 0.1357 0.8643  1 V 1.91, 1 Sc 2.13
V: 0.0000 0.0000 0.0000  6 O 1.91
Sc: 0.5000 0.0000 0.0000  6 O 2.13